SmTlHg after structural relaxation, computed with GGA-PBE.

a b c (Å): 5.3223 5.3223 6.5646
angles (deg): 90.00 90.00 120.00
Fractional coordinates of all 6 atoms:
1 Sm 0.6666 0.8334 0.7500
2 Sm 0.3334 0.1666 0.2500
3 Tl 0.0000 0.5000 0.0000
4 Tl 0.0000 0.5000 0.5000
5 Hg 0.3332 0.1668 0.7500
6 Hg 0.6668 0.8332 0.2500

Results
E_form   -0.39 eV/atom